Entry 1:
This record from Alexandria via LeMat-Bulk describes a crystal of CsRb2Ag2 relaxed with PBEsol. The functional is SCAN.

The structure belongs to space group I4/mmm (No. 139); the cell edges are 5.518, 5.518 and 14.783 Å and the angles 90.00°, 90.00° and 90.00°. The distinct sites, in fractional coordinates, are Cs at (0.000, 0.000, 0.000), Rb at (0.000, 0.500, 0.250) and Ag at (0.000, 0.000, 0.408).

The total DFT energy (no corrections) is -283.050 eV for the cell shown. The calculation puts the density of states at the Fermi level at 4.8 states/eV/cell. Its formation energy is 0.100 eV/atom. Its crystal system is tetragonal.



Entry 2:
This record from Alexandria via LeMat-Bulk describes a crystal of CsRb3Ag relaxed with PBEsol. The functional is SCAN.

The structure belongs to space group Pm-3m (No. 221); the cell edges are 7.050, 7.050 and 7.050 Å and the angles 90.00°, 90.00° and 90.00°. The distinct sites, in fractional coordinates, are Cs at (0.000, 0.000, 0.000), Rb at (0.000, 0.500, 0.500) and Ag at (0.500, 0.500, 0.500).

The total DFT energy (no corrections) is -130.998 eV for the cell shown. The calculation puts the density of states at the Fermi level at 4.1 states/eV/cell. Its formation energy is 0.079 eV/atom. Its crystal system is cubic.



Entry 3:
This record from Alexandria via LeMat-Bulk describes a crystal of Cs3RbAg relaxed with PBEsol. The functional is SCAN.

The structure belongs to space group Pm-3m (No. 221); the cell edges are 7.298, 7.298 and 7.298 Å and the angles 90.00°, 90.00° and 90.00°. The distinct sites, in fractional coordinates, are Cs at (0.000, 0.000, 0.500), Rb at (0.500, 0.500, 0.500) and Ag at (0.000, 0.000, 0.000).

The total DFT energy (no corrections) is -165.285 eV for the cell shown. The calculation puts the density of states at the Fermi level at 3.9 states/eV/cell. Its formation energy is 0.051 eV/atom. Its crystal system is cubic.



Entry 4:
This record from Alexandria via LeMat-Bulk describes a crystal of Cs2RbAg2 relaxed with PBEsol. The functional is SCAN.

The structure belongs to space group P4/mbm (No. 127); the cell edges are 9.980, 9.980 and 4.687 Å and the angles 90.00°, 90.00° and 90.00°. The distinct sites, in fractional coordinates, are Cs at (0.142, 0.358, 0.000), Rb at (0.000, 0.000, 0.500) and Ag at (0.154, 0.654, 0.500).

The total DFT energy (no corrections) is -317.390 eV for the cell shown. The calculation puts the density of states at the Fermi level at 4.2 states/eV/cell. Its formation energy is 0.080 eV/atom. Its crystal system is tetragonal.



Entry 5:
This record from Alexandria via LeMat-Bulk describes a crystal of Cs2RbAg2 relaxed with PBEsol. The functional is SCAN.

The structure belongs to space group I4/mmm (No. 139); the cell edges are 5.543, 5.543 and 15.161 Å and the angles 90.00°, 90.00° and 90.00°. The distinct sites, in fractional coordinates, are Cs at (0.000, 0.500, 0.250), Rb at (0.000, 0.000, 0.000) and Ag at (0.000, 0.000, 0.410).

The total DFT energy (no corrections) is -316.638 eV for the cell shown. The calculation puts the density of states at the Fermi level at 6.3 states/eV/cell. Its formation energy is 0.155 eV/atom. Its crystal system is tetragonal.



Entry 6:
This record from Alexandria via LeMat-Bulk describes a crystal of CsRbAgRh2 relaxed with PBEsol. The functional is SCAN.

The structure belongs to space group P4/mmm (No. 123); the cell edges are 4.922, 4.922 and 5.981 Å and the angles 90.00°, 90.00° and 90.00°. The distinct sites, in fractional coordinates, are Cs at (0.000, 0.000, 0.000), Rb at (0.000, 0.000, 0.500), Ag at (0.500, 0.500, 0.000) and Rh at (0.000, 0.500, 0.500).

The total DFT energy (no corrections) is -148.445 eV for the cell shown. The calculation puts the density of states at the Fermi level at 3.3 states/eV/cell. Its formation energy is 1.803 eV/atom. Its crystal system is tetragonal.



Entry 7:
This record from Alexandria via LeMat-Bulk describes a crystal of Cs2RbAgSe relaxed with PBEsol. The functional is SCAN.

The structure belongs to space group P4/mmm (No. 123); the cell edges are 6.894, 6.894 and 5.557 Å and the angles 90.00°, 90.00° and 90.00°. The distinct sites, in fractional coordinates, are Cs at (0.000, 0.500, 0.000), Rb at (0.000, 0.000, 0.000), Ag at (0.000, 0.000, 0.500) and Se at (0.500, 0.500, 0.500).

The total DFT energy (no corrections) is -147.251 eV for the cell shown. The uncorrected formation energy comes out at 0.55 eV per formula unit. Its crystal system is tetragonal.



Entry 8:
This record from Alexandria via LeMat-Bulk describes a crystal of Cs3AgRh relaxed with PBEsol. The functional is SCAN.

The structure belongs to space group Pm-3m (No. 221); the cell edges are 5.913, 5.913 and 5.913 Å and the angles 90.00°, 90.00° and 90.00°. The distinct sites, in fractional coordinates, are Cs at (0.000, 0.000, 0.500), Ag at (0.500, 0.500, 0.500) and Rh at (0.000, 0.000, 0.000).

The total DFT energy (no corrections) is -176.243 eV for the cell shown. The calculation puts the density of states at the Fermi level at 1.8 states/eV/cell. Its formation energy is 0.465 eV/atom. Its crystal system is cubic.



Entry 9:
This record from Alexandria via LeMat-Bulk describes a crystal of Cs2AgRhS relaxed with PBEsol. The functional is SCAN.

The structure belongs to space group P4/mmm (No. 123); the cell edges are 6.591, 6.591 and 4.467 Å and the angles 90.00°, 90.00° and 90.00°. The distinct sites, in fractional coordinates, are Cs at (0.000, 0.500, 0.000), Ag at (0.000, 0.000, 0.000), Rh at (0.500, 0.500, 0.500) and S at (0.000, 0.000, 0.500).

The total DFT energy (no corrections) is -149.029 eV for the cell shown. The calculation puts the density of states at the Fermi level at 1.5 states/eV/cell. The uncorrected formation energy comes out at 1.36 eV per formula unit. Its crystal system is tetragonal.



Entry 10:
This record from Alexandria via LeMat-Bulk describes a crystal of CsAg3Ru relaxed with PBEsol. The functional is SCAN.

The structure belongs to space group Pm-3m (No. 221); the cell edges are 5.485, 5.485 and 5.485 Å and the angles 90.00°, 90.00° and 90.00°. The distinct sites, in fractional coordinates, are Cs at (0.000, 0.000, 0.000), Ag at (0.000, 0.000, 0.500) and Ru at (0.500, 0.500, 0.500).

The total DFT energy (no corrections) is -154.905 eV for the cell shown. The calculation puts the density of states at the Fermi level at 7.3 states/eV/cell. Its formation energy is 2.367 eV/atom. Its crystal system is cubic.



no.,total moment (μB per formula unit)
1,0.00
2,0.06
3,0.83
4,0.00
5,0.00
6,0.00
7,0.00
8,0.00
9,2.00
10,1.76